Computed, not measured: a geometry-optimized TaMoOs2 structure at the PBE level of DFT.

Relative energy among the computed polymorphs, meV per atom: 1407.8
Symmetry: I-42d (122)
Energy of formation, meV per atom: 1375.2
VASP energy, Ry/atom: -0.728

Unit cell a=5.744 b=5.744 c=7.007 alpha=65.80 beta=65.80 gamma=90.00
Fractional coordinates of all 8 atoms:
Mo1 0.500 0.500 0.000
Mo2 0.250 0.750 0.500
Os1 0.612 0.125 0.250
Os2 0.138 0.625 0.250
Os3 0.375 0.388 0.750
Os4 0.875 0.862 0.750
Ta1 0.000 0.000 0.000
Ta2 0.750 0.250 0.500